# Rb2HgBi2Pb

A relaxed structure of Rb2HgBi2Pb (GGA-PBE, Alexandria via LeMat-Bulk).

The structure belongs to space group Ibam (No. 72); the cell edges are 7.6651, 16.6262 and 7.8359 Å and the angles 90.00°, 90.00° and 90.00°. Symmetry generates all atoms from Rb at (0.2380, 0.1631, 0.0000), Hg at (0.0000, 0.0000, 0.2500), Bi at (0.2441, 0.0991, 0.5000) and Pb at (0.0000, 0.5000, 0.2500).

The value obtained for the formation energy is -0.261 eV per atom. The energy comes out at -2.55 eV per atom. Its magnetization is 0.000 μB/atom.